(1)
Material: Zr2Al2CuAg
Method: DFT, PBE-GGA
State: optimized geometry

Properties
Raw total energy = -5.3744 eV/atom

abc: 7.592 4.362 14.503
angles: 90.00 99.70 90.00
Space group Pm (No. 6)
Symmetry-distinct sites (fractional):
Zr 0.000 0.000 0.000 (multiplicity 1)
Zr 0.010 0.500 0.493 (multiplicity 1)
Zr 0.234 0.000 0.736 (multiplicity 1)
Zr 0.247 0.500 0.241 (multiplicity 1)
Zr 0.480 0.000 0.483 (multiplicity 1)
Zr 0.500 0.500 0.000 (multiplicity 1)
Zr 0.743 0.000 0.236 (multiplicity 1)
Zr 0.759 0.500 0.739 (multiplicity 1)
Al 0.122 0.000 0.363 (multiplicity 1)
Al 0.122 0.500 0.863 (multiplicity 1)
Al 0.367 0.500 0.612 (multiplicity 1)
Al 0.372 0.000 0.122 (multiplicity 1)
Al 0.614 0.500 0.363 (multiplicity 1)
Al 0.621 0.000 0.866 (multiplicity 1)
Al 0.875 0.500 0.122 (multiplicity 1)
Al 0.876 0.000 0.615 (multiplicity 1)
Cu 0.060 0.500 0.676 (multiplicity 1)
Cu 0.061 0.000 0.182 (multiplicity 1)
Cu 0.306 0.500 0.425 (multiplicity 1)
Cu 0.558 0.500 0.181 (multiplicity 1)
Ag 0.309 0.000 0.929 (multiplicity 1)
Ag 0.558 0.000 0.675 (multiplicity 1)
Ag 0.808 0.000 0.427 (multiplicity 1)
Ag 0.811 0.500 0.930 (multiplicity 1)

=====

(2)
Material: ZrAlCuAg
Method: DFT, PBE-GGA
State: optimized geometry

Properties
Energy above the most stable polymorph in this dataset = 0 meV per atom
Raw total energy = -4.9277 eV/atom

abc: 6.464 6.464 6.464
angles: 90.00 90.00 90.00
Space group F-43m (No. 216)
Symmetry-distinct sites (fractional):
Zr 0.000 0.000 0.000 (multiplicity 4)
Al 0.000 0.000 0.500 (multiplicity 4)
Cu 0.250 0.250 0.750 (multiplicity 4)
Ag 0.250 0.250 0.250 (multiplicity 4)

=====

> Which formula does entry 1 have?

Zr2Al2CuAg